Entry from Alexandria via LeMat-Bulk: LiCdMoF6 after structural relaxation (PBE+U).

Calculated values
V	245	Å³/cell
E	-4.89	eV per atom
space group	P-31c (163)
DOS(E_F)	0.0000	states/eV/atom

POSCAR file:
```
LiCdMoF6
1.0
5.3957 0.0000 0.0000
-2.6979 4.6728 0.0000
0.0000 0.0000 9.7294
Li Cd Mo F
2 2 2 12
Direct
0.3333 0.6667 0.2500 Li
0.6667 0.3333 0.7500 Li
0.0000 0.0000 0.0000 Cd
0.0000 0.0000 0.5000 Cd
0.6667 0.3333 0.2500 Mo
0.3333 0.6667 0.7500 Mo
0.6522 0.6565 0.1354 F
0.0043 0.3477 0.1354 F
0.3478 0.0043 0.6354 F
0.9957 0.6523 0.8646 F
0.3435 0.3477 0.3646 F
0.0043 0.6565 0.3646 F
0.6565 0.0043 0.8646 F
0.6522 0.9957 0.3646 F
0.9957 0.3435 0.6354 F
0.3435 0.9957 0.1354 F
0.6565 0.6523 0.6354 F
0.3478 0.3435 0.8646 F
```